(1)
Here is Tb2CuGe3 after structural relaxation from Alexandria. Energies are from PBE.

a b c (Å): 8.1137 8.3271 14.3759
angles (deg): 90.00 90.00 90.00
Space group Fmmm (No. 69)
Symmetry-distinct sites (fractional):
Tb (0.2420, 0.0000, 0.0000) [8 per cell]
Tb (0.2500, 0.2500, 0.2500) [8 per cell]
Cu (0.0000, 0.0000, 0.3329) [8 per cell]
Ge (0.0000, 0.0000, 0.1705) [8 per cell]
Ge (0.0000, 0.2392, 0.4144) [16 per cell]

Output
The calculation puts the formation energy at -0.67 eV per atom. The calculation puts the energy relative to the lowest polymorph listed for this composition at 0 meV/atom.


(2)
Here is Pr2BeGaNi6 after structural relaxation from Alexandria. Energies are from PBE.

a b c (Å): 10.1508 5.8724 6.3227
angles (deg): 90.00 122.20 90.00
Space group C2/m (No. 12)
Symmetry-distinct sites (fractional):
Pr (0.2152, 0.0000, 0.1454) [4 per cell]
Be (0.0000, 0.0000, 0.5000) [2 per cell]
Ga (0.0000, 0.5000, 0.0000) [2 per cell]
Ni (0.0514, 0.2913, 0.3619) [8 per cell]
Ni (0.2404, 0.0000, 0.6407) [4 per cell]

Output
The calculation puts the formation energy at -0.27 eV per atom.


(3)
Here is DyEr3Tc after structural relaxation from Alexandria. Energies are from PBE.

a b c (Å): 3.5450 10.4975 7.7140
angles (deg): 90.00 90.00 90.00
Space group Pmmn (No. 59, origin choice 2)
Symmetry-distinct sites (fractional):
Dy (0.2500, 0.2500, 0.0011) [2 per cell]
Er (0.2500, 0.5390, 0.2771) [4 per cell]
Er (0.2500, 0.7500, 0.6224) [2 per cell]
Tc (0.2500, 0.2500, 0.6610) [2 per cell]

Output
The calculation puts the formation energy at 0.04 eV per atom. The calculation puts the energy relative to the lowest polymorph listed for this composition at 75 meV/atom.


(4)
Here is BaPu2Sb2Au2 after structural relaxation from Alexandria. Energies are from PBE.

a b c (Å): 4.9415 4.9415 28.2812
angles (deg): 90.00 90.00 120.00
Space group R-3m (No. 166, hexagonal axes)
Symmetry-distinct sites (fractional):
Ba (0.0000, 0.0000, 0.0000) [3 per cell]
Pu (0.0000, 0.0000, 0.1444) [6 per cell]
Sb (0.0000, 0.0000, 0.2567) [6 per cell]
Au (0.0000, 0.0000, 0.4445) [6 per cell]

Output
As for the uncorrected formation energy: -611 meV/atom.


(5)
Here is BeTc2Cl after structural relaxation from Alexandria. Energies are from PBE.

a b c (Å): 5.8684 5.8684 5.8684
angles (deg): 90.00 90.00 90.00
Space group Fm-3m (No. 225)
Symmetry-distinct sites (fractional):
Be (0.0000, 0.0000, 0.0000) [4 per cell]
Tc (0.2500, 0.2500, 0.2500) [8 per cell]
Cl (0.0000, 0.0000, 0.5000) [4 per cell]

Output
As for the uncorrected formation energy: 748 meV/atom. The calculation puts the energy relative to the lowest polymorph listed for this composition at 654 meV/atom.


(6)
Here is GaCuGe after structural relaxation from Alexandria. Energies are from PBE.

a b c (Å): 4.1529 4.1540 7.1904
angles (deg): 73.94 74.00 60.39
Space group P-1 (No. 2)
Symmetry-distinct sites (fractional):
Ga (0.1275, 0.1276, 0.1173) [2 per cell]
Cu (0.2515, 0.2520, 0.7457) [2 per cell]
Ge (0.3774, 0.3759, 0.3689) [2 per cell]

Output
The calculation puts the formation energy at 0.03 eV per atom.


(7)
Here is RbGaTe2 after structural relaxation from Alexandria. Energies are from PBE.

a b c (Å): 7.4234 11.8528 7.3042
angles (deg): 90.00 90.00 90.00
Space group Pna2_1 (No. 33)
Symmetry-distinct sites (fractional):
Rb (0.0130, 0.1212, 0.0000) [4 per cell]
Ga (0.0432, 0.3738, 0.4253) [4 per cell]
Te (0.0165, 0.4221, 0.0684) [4 per cell]
Te (0.1169, 0.8192, 0.0166) [4 per cell]

Output
As for the uncorrected formation energy: -667 meV/atom.


(8)
Here is NaSiHAu2 after structural relaxation from Alexandria. Energies are from PBE.

a b c (Å): 4.9945 4.9945 3.4359
angles (deg): 90.00 90.00 90.00
Space group P4/mmm (No. 123)
Symmetry-distinct sites (fractional):
Na (0.0000, 0.0000, 0.0000) [1 per cell]
Si (0.5000, 0.5000, 0.5000) [1 per cell]
H (0.5000, 0.5000, 0.0000) [1 per cell]
Au (0.0000, 0.5000, 0.5000) [2 per cell]

Output
As for the final energy: -3.401 eV/atom.


Q: Which formula does entry 7 have?
A: RbGaTe2